1.
Density functional theory data (GGA-PBE) for crystalline La11Mg9Ag4 at its relaxed geometry.

It has space group Cmmm (No. 65), with a = 15.481 Å, b = 23.354 Å, c = 3.934 Å, α = 90.00°, β = 90.00° and γ = 90.00°. The inequivalent atoms are La at (0.000, 0.000, 0.000), La at (0.000, 0.165, 0.000), La at (0.000, 0.367, 0.000), La at (0.212, 0.500, 0.000), La at (0.236, 0.176, 0.000), Mg at (0.000, 0.500, 0.500), Mg at (0.105, 0.264, 0.500), Mg at (0.138, 0.075, 0.500) and Ag at (0.152, 0.401, 0.500).

The energy of formation comes out at -4.0 eV/f.u. The value obtained for the density of states at the Fermi level is 49.18 states/eV per cell.

***

2.
Density functional theory data (GGA-PBE) for crystalline La3Mg2Ag at its relaxed geometry.

It has space group P4/mmm (No. 123), with a = 3.941 Å, b = 3.941 Å, c = 11.571 Å, α = 90.00°, β = 90.00° and γ = 90.00°. The inequivalent atoms are La at (0.000, 0.000, 0.000), La at (0.000, 0.000, 0.341), Mg at (0.500, 0.500, 0.167) and Ag at (0.500, 0.500, 0.500).

The value obtained for the energy above the most stable polymorph in this dataset is 0.00 kcal/mol of atoms. The energy of formation comes out at -1.0 eV/f.u. The value obtained for the density of states at the Fermi level is 5.36 states/eV per cell.

***

Q: Which total energy values were calculated for the entries above? A: -3.50; -3.63, in eV/atom.